FePd2Au2, relaxed, DFT PBE; formation energy from the elements = -71.5 meV/atom; ρ = 13.80 g/cm³; energy above the lowest structure with this stoichiometry = 0.000 eV/f.u.
1.0
2.8765 0.0000 -0.4615
-0.0741 2.8756 -0.4615
0.0672 0.0690 9.6139
Au Fe Pd
2 1 2
Cartesian
2.2994 2.3593 5.1360
0.5704 0.5852 3.5549
0.0000 0.0000 0.0000
1.6553 1.6985 1.1218
1.2144 1.2461 7.5691